(1)
Al3CdGe | Alexandria | PBE | relaxed; calculated total energy = -12.32 eV per formula unit; E_form = 20.5 kcal/mol of atoms; space group = Pm-3m
1.0
5.023 0.000 0.000
0.000 5.023 0.000
0.000 0.000 5.023
Al Ge Cd
3 1 1
Direct
0.000 0.000 0.500
0.000 0.500 0.000
0.500 0.000 0.000
0.500 0.500 0.500
0.000 0.000 0.000

(2)
CeGdFeRh | Alexandria | PBE | relaxed; calculated total energy = -36.93 eV per formula unit; E_form = -6.4 kcal/mol of atoms; space group = F-43m
1.0
-4.639 -1.335 0.616
-2.273 -2.566 -3.454
-1.104 -4.676 0.773
Rh Fe Gd Ce
1 1 1 1
Direct
0.500 0.500 0.500
0.000 0.000 0.000
0.750 0.750 0.750
0.250 0.250 0.250

(3)
Tc2HgPdI | Alexandria | PBE | relaxed; calculated total energy = -20.88 eV per formula unit; formation energy (no corrections) = 1379 meV per atom; space group = P4/mmm
1.0
5.113 0.000 0.000
0.000 5.191 0.000
0.000 0.000 5.113
Pd I Hg Tc
1 1 1 2
Direct
0.000 0.000 0.000
0.500 0.500 0.500
0.000 0.500 0.000
0.000 0.000 0.500
0.500 0.000 0.000

(4)
Cs3ScSe4 | Alexandria | PBE | relaxed; calculated total energy = -31.28 eV per formula unit; formation energy (no corrections) = -1056 meV per atom; space group = Immm
1.0
5.644 0.000 0.000
0.000 6.441 0.000
-2.822 -3.221 9.025
Cs Se Sc
3 4 1
Direct
0.000 0.500 0.000
0.794 0.794 0.589
0.206 0.206 0.411
0.611 0.855 0.222
0.389 0.145 0.778
0.389 0.634 0.778
0.611 0.366 0.222
0.500 0.000 0.000

(5)
Mg5In12Ga2 | Alexandria | PBE | relaxed; calculated total energy = -47.23 eV per formula unit; E_form = -0.4 kcal/mol of atoms; space group = C2/m
1.0
8.625 0.000 0.000
-4.313 7.378 -2.059
0.000 -5.510 8.953
In Ga Mg
12 2 5
Direct
0.156 0.789 0.594
0.906 0.813 0.104
0.922 0.376 0.780
0.397 0.793 0.086
0.094 0.187 0.896
0.546 0.624 0.220
0.367 0.211 0.406
0.454 0.376 0.780
0.633 0.789 0.594
0.078 0.624 0.220
0.603 0.207 0.914
0.844 0.211 0.406
0.253 0.000 0.000
0.747 0.000 0.000
0.306 0.611 0.711
0.183 0.365 0.280
0.817 0.635 0.720
0.000 0.000 0.500
0.694 0.389 0.289

(6)
YCoTeI2 | Alexandria | PBE | relaxed; calculated total energy = -20.45 eV per formula unit; formation energy (no corrections) = -127 meV per atom; space group = P4/mmm
1.0
5.113 0.000 0.000
0.000 5.113 0.000
0.000 0.000 5.325
I Co Y Te
2 1 1 1
Direct
0.500 0.000 0.000
0.000 0.500 0.000
0.000 0.000 0.000
0.500 0.500 0.500
0.000 0.000 0.500

(7)
Be2InP | Alexandria | PBE | relaxed; calculated total energy = -14.90 eV per formula unit; E_form = 4.0 kcal/mol of atoms; space group = P-1
1.0
-3.446 -0.787 2.999
-2.865 -0.717 -3.424
2.821 -2.660 2.491
Be P In
2 1 1
Direct
0.989 0.249 0.001
0.511 0.251 0.999
0.250 0.750 0.500
0.750 0.250 0.500

(8)
Cs2TlBi | Alexandria | PBE | relaxed; calculated total energy = -9.14 eV per formula unit; E_form = -6.9 kcal/mol of atoms; space group = Amm2
1.0
4.940 0.000 0.000
0.000 5.969 0.000
0.000 -2.984 7.282
Tl Bi Cs
1 1 2
Direct
0.500 0.684 0.368
0.000 0.814 0.628
0.500 0.394 0.789
0.000 0.103 0.205

(9)
NaHfSc2 | Alexandria | PBE | relaxed; calculated total energy = -20.61 eV per formula unit; E_form = 19.2 kcal/mol of atoms; space group = I-42d
1.0
4.363 0.000 0.000
0.000 4.363 0.000
2.181 2.181 10.565
Hf Sc Na
2 4 2
Direct
0.750 0.250 0.500
0.000 0.000 0.000
0.112 0.625 0.250
0.638 0.125 0.250
0.375 0.362 0.750
0.875 0.888 0.750
0.250 0.750 0.500
0.500 0.500 0.000

(10)
Li2CaVN | Alexandria | PBE | relaxed; calculated total energy = -15.25 eV per formula unit; formation energy (no corrections) = 1604 meV per atom; space group = P4/mmm
1.0
4.688 0.000 0.000
0.000 5.911 0.000
0.000 0.000 4.688
Ca Li N V
1 2 1 1
Direct
0.000 0.500 0.000
0.500 0.000 0.000
0.000 0.000 0.500
0.500 0.500 0.500
0.000 0.000 0.000

(11)
NaZr2Bi2 | Alexandria | PBE | relaxed; calculated total energy = -27.13 eV per formula unit; E_form = -4.4 kcal/mol of atoms; space group = P4/mbm
1.0
-4.764 5.915 3.344
-2.366 -5.273 5.956
2.932 1.135 2.170
Zr Bi Na
4 4 2
Direct
0.636 0.864 0.500
0.364 0.136 0.500
0.864 0.364 0.500
0.136 0.636 0.500
0.655 0.155 0.000
0.845 0.655 0.000
0.345 0.845 0.000
0.155 0.345 0.000
0.000 0.000 0.000
0.500 0.500 0.000

(12)
Er6TlS3 | Alexandria | PBE | relaxed; calculated total energy = -53.92 eV per formula unit; formation energy (no corrections) = -1179 meV per atom; space group = P2_1/m
1.0
-2.490 -2.221 1.671
8.324 -4.916 5.867
-3.401 9.093 7.021
Er S Tl
12 6 2
Direct
0.750 0.186 0.471
0.250 0.814 0.529
0.750 0.700 0.247
0.750 0.371 0.045
0.250 0.180 0.224
0.250 0.469 0.359
0.750 0.820 0.776
0.250 0.629 0.955
0.250 0.300 0.753
0.750 0.916 0.096
0.250 0.084 0.904
0.750 0.531 0.641
0.250 0.365 0.550
0.750 0.465 0.852
0.250 0.535 0.148
0.750 0.141 0.064
0.750 0.635 0.450
0.250 0.859 0.936
0.750 0.050 0.674
0.250 0.950 0.326

Repeat the sixth record exactly.
YCoTeI2 | Alexandria | PBE | relaxed; calculated total energy = -20.45 eV per formula unit; formation energy (no corrections) = -127 meV per atom; space group = P4/mmm
1.0
5.113 0.000 0.000
0.000 5.113 0.000
0.000 0.000 5.325
I Co Y Te
2 1 1 1
Direct
0.500 0.000 0.000
0.000 0.500 0.000
0.000 0.000 0.000
0.500 0.500 0.500
0.000 0.000 0.500

Which formula does entry 6 have? YCoTeI2